## Sr2PrAs3Pd4 (PBE)

Data for Sr2PrAs3Pd4 after structural relaxation.

Output
As for the spin magnetization: 0.00 Bohr magnetons per cell. The uncorrected energy comes out at -5.1167 eV per atom. The calculation puts the theoretical density at 7.18 Mg/m³.

a b c (Å): 4.386 4.386 11.619
angles (deg): 90.00 90.00 90.00
Element x y z (fractional)
1 Pd 0.500 0.500 0.000
2 Pd 0.000 0.000 0.000
3 Pr 0.500 0.500 0.500
4 Sr 0.500 0.000 0.216
5 As 0.000 0.500 0.121
6 Pd 0.500 0.000 0.664
7 As 0.000 0.000 0.500
8 As 0.500 0.000 0.879
9 Pd 0.000 0.500 0.336
10 Sr 0.000 0.500 0.784

## SrPrAs2Pd4 (PBE)

Data for SrPrAs2Pd4 after structural relaxation.

Output
As for the spin magnetization: 0.00 Bohr magnetons per cell. The uncorrected energy comes out at -5.2337 eV per atom. The calculation puts the theoretical density at 7.46 Mg/m³.

a b c (Å): 4.187 4.187 10.207
angles (deg): 90.00 90.00 90.00
Element x y z (fractional)
1 As 0.500 0.500 0.344
2 Pd 0.000 0.500 0.788
3 Pd 0.500 0.000 0.788
4 As 0.500 0.500 0.656
5 Pd 0.500 0.000 0.212
6 Sr 0.000 0.000 0.500
7 Pd 0.000 0.500 0.212
8 Pr 0.000 0.000 0.000

- The lowest theoretical density belongs to which entry?
  Sr2PrAs3Pd4